VASP calculation (PBE-GGA) on an optimized crystal structure of Ni2WBr.

Results
volume: 127.4 Å³ per cell
formation energy without anion corrections: 0.545 eV/atom
distance to the lowest polymorph of the same formula: 191.5 meV per atom

CIF file:
```
data_Ni2WBr
_cell_length_a 2.767
_cell_length_b 3.110
_cell_length_c 14.797
_cell_angle_alpha 90.00
_cell_angle_beta 90.00
_cell_angle_gamma 90.00
_space_group_name_H-M_alt 'I m m 2'
_space_group_IT_number 44
loop_
_space_group_symop_operation_xyz
'x,y,z'
'-x,-y,z'
'-x,y,z'
'x,-y,z'
'x+1/2,y+1/2,z+1/2'
'-x+1/2,-y+1/2,z+1/2'
'-x+1/2,y+1/2,z+1/2'
'x+1/2,-y+1/2,z+1/2'
loop_
_atom_site_label
_atom_site_fract_x
_atom_site_fract_y
_atom_site_fract_z
_atom_site_occupancy
Ni1 0.000 0.000 0.000 1
Ni2 0.000 0.500 0.272 1
W1 0.000 0.500 0.874 1
Br1 0.000 0.000 0.631 1
```

***

VASP calculation (PBE-GGA) on an optimized crystal structure of Li2YW.

Results
formation energy: 51.8 kJ/mol of atoms
volume: 245.2 Å³ per cell
distance to the lowest polymorph of the same formula: 83.3 meV per atom

CIF file:
```
data_Li2YW
_cell_length_a 3.0021
_cell_length_b 3.0021
_cell_length_c 31.4132
_cell_angle_alpha 90.00
_cell_angle_beta 90.00
_cell_angle_gamma 120.00
_space_group_name_H-M_alt 'R 3 m'
_space_group_IT_number 160
_space_group_name_Hall 'R 3 -2"'
loop_
_atom_site_label
_atom_site_fract_x
_atom_site_fract_y
_atom_site_fract_z
_atom_site_occupancy
Li1 0.0000 0.0000 0.0000 1
Li2 0.0000 0.0000 0.2502 1
Y1 0.0000 0.0000 0.7605 1
W1 0.0000 0.0000 0.5090 1
```

***

VASP calculation (PBE-GGA) on an optimized crystal structure of SrPS2Br.

Results
volume: 192.0 Å³ per cell
formation energy without anion corrections: 0.738 eV/atom
distance to the lowest polymorph of the same formula: 591.5 meV per atom

CIF file:
```
data_SrPS2Br
_cell_length_a 5.615
_cell_length_b 5.615
_cell_length_c 6.088
_cell_angle_alpha 90.00
_cell_angle_beta 90.00
_cell_angle_gamma 90.00
_space_group_name_H-M_alt 'P 4/m m m'
_space_group_IT_number 123
_space_group_name_Hall '-P 4 2'
loop_
_atom_site_label
_atom_site_fract_x
_atom_site_fract_y
_atom_site_fract_z
_atom_site_occupancy
Sr1 0.000 0.000 0.000 1
P1 0.000 0.000 0.500 1
S1 0.000 0.500 0.000 1
Br1 0.500 0.500 0.500 1
```

***

VASP calculation (PBE-GGA) on an optimized crystal structure of NaLiCa2Ge.

Results
formation energy: -17.7 kJ/mol of atoms
volume: 171.1 Å³ per cell

CIF file:
```
data_NaLiCa2Ge
_cell_length_a 5.806
_cell_length_b 5.806
_cell_length_c 5.077
_cell_angle_alpha 90.00
_cell_angle_beta 90.00
_cell_angle_gamma 90.00
_space_group_name_H-M_alt 'P 4/m m m'
_space_group_IT_number 123
_space_group_name_Hall '-P 4 2'
loop_
_atom_site_label
_atom_site_fract_x
_atom_site_fract_y
_atom_site_fract_z
_atom_site_occupancy
Na1 0.000 0.000 0.000 1
Li1 0.500 0.500 0.000 1
Ca1 0.000 0.500 0.500 1
Ge1 0.500 0.500 0.500 1
```

***

VASP calculation (PBE-GGA) on an optimized crystal structure of CeI3N.

Results
volume: 826.2 Å³ per cell
formation energy without anion corrections: 0.048 eV/atom

CIF file:
```
data_CeI3N
_cell_length_a 11.037
_cell_length_b 7.750
_cell_length_c 9.670
_cell_angle_alpha 90.00
_cell_angle_beta 92.65
_cell_angle_gamma 90.00
_space_group_name_H-M_alt 'C 1 2/m 1'
_space_group_IT_number 12
loop_
_space_group_symop_operation_xyz
'x,y,z'
'-x,-y,-z'
'-x,y,-z'
'x,-y,z'
'x+1/2,y+1/2,z'
'-x+1/2,-y+1/2,-z'
'-x+1/2,y+1/2,-z'
'x+1/2,-y+1/2,z'
loop_
_atom_site_label
_atom_site_fract_x
_atom_site_fract_y
_atom_site_fract_z
_atom_site_occupancy
Ce1 0.000 0.250 0.000 1
I1 0.060 0.000 0.754 1
I2 0.079 0.500 0.246 1
I3 0.246 0.500 0.895 1
N1 0.203 0.000 0.450 1
```

***

VASP calculation (PBE-GGA) on an optimized crystal structure of SmDyAl2Ga2.

Results
formation energy: -55.7 kJ/mol of atoms
volume: 128.1 Å³ per cell

CIF file:
```
data_SmDyAl2Ga2
_cell_length_a 4.4036
_cell_length_b 4.4036
_cell_length_c 7.6288
_cell_angle_alpha 90.00
_cell_angle_beta 90.00
_cell_angle_gamma 120.00
_space_group_name_H-M_alt 'P -3 m 1'
_space_group_IT_number 164
_space_group_name_Hall '-P 3 2"'
loop_
_atom_site_label
_atom_site_fract_x
_atom_site_fract_y
_atom_site_fract_z
_atom_site_occupancy
Sm1 0.0000 0.0000 0.0000 1
Dy1 0.0000 0.0000 0.5000 1
Al1 0.3333 0.6667 0.7449 1
Ga1 0.3333 0.6667 0.2575 1
```

***

These records have E_tot values of -48.02 -63.29 -13.33 -12.77 -74.68 -26.32 eV/cell, in the order they appear.